Density functional theory data (PBE-GGA) for a geometry-optimized Zr2CoReSb structure.

## Properties
M_tot ... 0.0484 μB per atom
N(E_F) ... 4.578 states/eV/cell
Electronic total energy ... -38.1 eV per cell
Calculated volume ... 20.362 Å³/atom

abc: 4.7438 4.7438 4.5243
angles: 90.00 90.00 90.00
Closest atoms and distances in Å follow each position.
Space group P4/mmm (No. 123)
One atom of each set of equivalent atoms:
Zr 0.0000 0.5000 0.0000 (multiplicity 2)  2 Co 2.37
Co 0.0000 0.0000 0.0000 (multiplicity 1)  2 Sb 2.26, 4 Zr 2.37
Re 0.5000 0.5000 0.5000 (multiplicity 1)  8 Zr 3.28, 4 Sb 3.35
Sb 0.0000 0.0000 0.5000 (multiplicity 1)  2 Co 2.26

Density functional theory data (PBE-GGA) for a geometry-optimized ScCoRe structure.

## Properties
M_tot ... 0.0000 μB per atom
Formation energy ... 38 kJ/mol of formula units
N(E_F) ... 3.828 states/eV/cell
Calculated volume ... 15.310 Å³/atom

abc: 4.3655 4.3655 2.7829
angles: 90.00 90.00 120.00
Closest atoms and distances in Å follow each position.
Space group P-6m2 (No. 187)
One atom of each set of equivalent atoms:
Sc 0.0000 0.0000 0.0000 (multiplicity 1)  2 Sc 2.78, 6 Re 2.88, 6 Co 2.88
Co 0.3333 0.6667 0.5000 (multiplicity 1)  3 Re 2.52, 2 Co 2.78
Re 0.6667 0.3333 0.5000 (multiplicity 1)  3 Co 2.52, 2 Re 2.78